(1)
A plane-wave DFT calculation with GGA-PBE was carried out for crystalline TaTl2GaF6 at its relaxed geometry.

Properties
E   -5.067 eV per atom

a b c (Å): 6.195 6.195 6.195
angles (deg): 60.00 60.00 60.00
Each line ends with the local moment (μB).
Fractional positions:
F 0.728 0.272 0.272  0.01
F 0.272 0.728 0.272  0.01
F 0.728 0.728 0.272  0.01
F 0.272 0.272 0.728  0.01
F 0.728 0.272 0.728  0.01
F 0.272 0.728 0.728  0.01
Ga 0.000 0.000 0.000  0.01
Ta 0.500 0.500 0.500  0.91
Tl 0.250 0.250 0.250  0.02
Tl 0.750 0.750 0.750  0.02

(2)
A plane-wave DFT calculation with GGA-PBE was carried out for crystalline TmAl8Fe4 at its relaxed geometry.

Properties
E   -5.636 eV per atom

a b c (Å): 6.611 6.611 6.611
angles (deg): 98.24 98.24 135.51
Each line ends with the local moment (μB).
Fractional positions:
Al 0.720 0.500 0.220  -0.02
Al 0.500 0.720 0.220  -0.02
Al 0.000 0.340 0.340  -0.02
Al 0.340 0.000 0.340  -0.01
Al 0.000 0.660 0.660  -0.02
Al 0.660 0.000 0.660  -0.01
Al 0.280 0.500 0.780  -0.02
Al 0.500 0.280 0.780  -0.02
Fe 0.500 0.000 0.000  1.42
Fe 0.000 0.500 0.000  1.43
Fe 0.000 0.000 0.500  1.43
Fe 0.500 0.500 0.500  1.43
Tm 0.000 0.000 0.000  -0.13

(3)
A plane-wave DFT calculation with GGA-PBE was carried out for crystalline Y3AuN2 at its relaxed geometry.

Properties
E   -7.849 eV per atom

a b c (Å): 3.501 3.501 20.177
angles (deg): 90.00 90.00 120.00
Each line ends with the local moment (μB).
Fractional positions:
Au 0.000 0.000 0.250  0.03
Au 0.000 0.000 0.750  0.03
N 0.333 0.667 0.072  0.01
N 0.333 0.667 0.428  0.01
N 0.667 0.333 0.572  0.01
N 0.667 0.333 0.928  0.01
Y 0.000 0.000 0.000  0.00
Y 0.667 0.333 0.137  0.07
Y 0.667 0.333 0.363  0.07
Y 0.000 0.000 0.500  0.00
Y 0.333 0.667 0.637  0.07
Y 0.333 0.667 0.863  0.07